1.
DFT (PBE-GGA) results for an optimized crystal structure of LaPm4Pr. Values from VASP.

Quantum ESPRESSO input file:
```
&SYSTEM
  ibrav = 0, nat = 6, ntyp = 3
/
ATOMIC_SPECIES
La 138.91 La.upf
Pm 145.00 Pm.upf
Pr 140.91 Pr.upf
CELL_PARAMETERS angstrom
6.456 0.612 1.073
3.277 5.596 1.073
-0.915 -0.584 6.029
ATOMIC_POSITIONS crystal
La 0.000 0.000 0.000
Pm 0.322 0.322 0.947
Pm 0.678 0.678 0.053
Pm 0.821 0.821 0.553
Pm 0.179 0.179 0.447
Pr 0.500 0.500 0.500
```

Values from the calculation:
- Fermi-level density of states (states/eV per atom) = 1.573
- energy of formation from the pure elements (eV per atom) = 0.09
- magnetic moment (μB per formula unit) = 0.0
- energy above the lowest structure with this stoichiometry (meV per atom) = 73



2.
DFT (PBE-GGA) results for an optimized crystal structure of YCr2PdAu. Values from VASP.

Quantum ESPRESSO input file:
```
&SYSTEM
  ibrav = 0, nat = 5, ntyp = 4
/
ATOMIC_SPECIES
Y 88.91 Y.upf
Cr 52.00 Cr.upf
Au 196.97 Au.upf
Pd 106.42 Pd.upf
CELL_PARAMETERS angstrom
-3.332 -2.833 2.363
1.820 -4.168 -2.431
3.245 -0.737 3.693
ATOMIC_POSITIONS crystal
Y 0.000 0.000 0.000
Cr 0.000 0.000 0.500
Cr 0.500 0.000 0.000
Au 0.000 0.500 0.000
Pd 0.500 0.500 0.500
```

Values from the calculation:
- Fermi-level density of states (states/eV per atom) = 0.599
- energy of formation from the pure elements (eV per atom) = 1.68
- magnetic moment (μB per formula unit) = 7.9



3.
DFT (PBE-GGA) results for an optimized crystal structure of Rb3Ac3HfS8. Values from VASP.

Quantum ESPRESSO input file:
```
&SYSTEM
  ibrav = 0, nat = 15, ntyp = 4
/
ATOMIC_SPECIES
Rb 85.47 Rb.upf
Ac 227.00 Ac.upf
Hf 178.49 Hf.upf
S 32.06 S.upf
CELL_PARAMETERS angstrom
-8.178 0.372 -2.588
1.963 -3.675 7.509
0.593 9.244 -0.545
ATOMIC_POSITIONS crystal
Rb 0.000 0.000 0.000
Rb 0.000 0.500 0.000
Rb 0.500 0.500 0.000
Ac 0.500 0.000 0.500
Ac 0.500 0.500 0.500
Ac 0.000 0.500 0.500
Hf 0.000 0.000 0.500
S 0.264 0.529 0.293
S 0.736 0.471 0.707
S 0.792 0.584 0.316
S 0.208 0.416 0.684
S 0.792 0.024 0.316
S 0.208 0.976 0.684
S 0.232 0.024 0.316
S 0.768 0.976 0.684
```

Values from the calculation:
- Fermi-level density of states (states/eV per atom) = 0.000
- formation energy without anion corrections (eV per atom) = -1.8059
- magnetic moment (μB per formula unit) = 0.0